[1]
Y3GeBr3: relaxed, GGA-PBE.

Summary:
- mass density (g/cm3) = 4.84
- space group = No. 214
- electronic total energy (eV/cell) = -155.524

Structure (POSCAR):
```
Y3GeBr3
1.0
9.531 0.000 -3.370
-4.766 8.254 -3.370
0.000 0.000 10.109
Y Ge Br
12 4 12
Cartesian
6.985 4.033 -2.527
4.766 0.189 0.842
2.328 0.094 4.058
5.848 6.191 -5.743
8.285 1.969 0.688
7.203 0.094 -2.373
4.766 3.938 0.842
3.683 6.191 -2.681
3.738 2.158 -2.527
1.246 1.969 0.997
5.793 2.158 4.212
2.546 4.033 4.212
4.766 4.127 -4.212
3.574 2.064 2.527
5.957 2.064 -0.842
0.000 0.000 2.527
-2.406 8.214 5.832
3.551 6.230 2.462
1.122 6.151 5.897
-1.145 2.064 9.202
-1.122 6.151 -0.842
2.314 4.167 -0.842
1.145 2.064 5.962
0.000 4.207 2.527
2.406 8.214 -0.777
-2.314 4.167 5.897
-3.551 6.230 2.592
0.000 8.174 2.527
```

[2]
Y2GeBr2: relaxed, GGA-PBE.

Summary:
- mass density (g/cm3) = 4.99
- space group = No. 139
- electronic total energy (eV/cell) = -24.831

Structure (POSCAR):
```
Y2GeBr2
1.0
-2.617 2.600 2.298
-2.981 -0.211 -3.156
-5.754 -4.588 2.749
Y Ge Br
2 1 2
Cartesian
-3.471 -0.120 0.294
-7.881 -2.079 1.597
0.000 0.000 0.000
-5.585 -0.397 2.309
-5.767 -1.802 -0.418
```

[3]
Y4GeBr5: relaxed, GGA-PBE.

Summary:
- mass density (g/cm3) = 4.53
- space group = No. 12
- electronic total energy (eV/cell) = -53.601

Structure (POSCAR):
```
Y4GeBr5
1.0
-1.947 -1.528 3.229
4.805 -6.896 -0.366
5.748 6.237 3.854
Y Ge Br
4 1 5
Cartesian
7.740 -2.545 3.463
7.520 -0.650 6.789
0.866 0.358 3.254
1.086 -1.536 -0.072
-0.973 -0.764 1.614
5.425 -1.742 5.010
2.934 1.701 5.137
5.672 -3.888 1.580
1.429 -4.212 1.431
3.180 -0.445 1.707
```

[4]
ZnGe2Br: relaxed, GGA-PBE.

Summary:
- mass density (g/cm3) = 4.28
- space group = No. 122
- electronic total energy (eV/cell) = -21.494

Structure (POSCAR):
```
ZnGe2Br
1.0
5.980 0.000 0.000
0.000 5.980 0.000
2.990 2.990 6.312
Ge Zn Br
4 2 2
Cartesian
4.109 1.495 1.578
1.871 4.485 1.578
4.485 4.861 4.734
7.474 7.098 4.734
2.990 2.990 0.000
2.990 5.980 3.156
0.000 0.000 0.000
5.980 2.990 3.156
```

[5]
Zn3GeBr: relaxed, GGA-PBE.

Summary:
- mass density (g/cm3) = 4.77
- space group = No. 221
- electronic total energy (eV/cell) = -9.857

Structure (POSCAR):
```
Zn3GeBr
1.0
-2.719 -0.077 -4.137
-2.099 -4.241 1.459
-3.566 2.555 2.296
Ge Zn Br
1 3 1
Cartesian
0.000 0.000 0.000
-1.049 -2.120 0.729
-1.783 1.277 1.148
-1.360 -0.039 -2.068
-4.192 -0.881 -0.191
```

[6]
ZnGe3Br: relaxed, GGA-PBE.

Summary:
- mass density (g/cm3) = 4.86
- space group = No. 221
- electronic total energy (eV/cell) = -13.961

Structure (POSCAR):
```
ZnGe3Br
1.0
-2.613 4.244 -0.160
-4.244 -2.616 -0.083
-0.155 0.092 4.984
Ge Zn Br
3 1 1
Cartesian
-2.122 -1.308 -0.042
-0.077 0.046 2.492
-1.307 2.122 -0.080
0.000 0.000 0.000
-3.506 0.860 2.370
```

- Among the records above, which one has the lowest electronic total energy?
  Y3GeBr3